Gd3Ni13C2: relaxed, PBE. Values from VASP.

Output
Total magnetic moment   0.3 μB/f.u.
SG   P6/mmm
Total energy   -109.82 eV/cell

Quantum ESPRESSO input file:
```
&SYSTEM
  ibrav = 0, nat = 18, ntyp = 3
/
ATOMIC_SPECIES
C 12.01 C.upf
Gd 157.25 Gd.upf
Ni 58.69 Ni.upf
CELL_PARAMETERS angstrom
-3.684 0.300 -3.360
3.276 -3.764 -0.216
-6.341 -5.887 6.428
ATOMIC_POSITIONS angstrom
C -1.364 -1.055 -2.312
C 0.956 -2.410 -1.264
Gd 0.000 0.000 0.000
Gd -2.087 -1.938 2.116
Gd -4.254 -3.949 4.312
Ni -2.633 -0.584 -0.878
Ni 0.848 -2.616 0.694
Ni -0.994 -2.466 -0.986
Ni -3.362 -2.910 -0.286
Ni -1.042 -4.264 0.762
Ni -5.012 -2.794 1.534
Ni -1.532 -4.826 3.106
Ni -3.374 -4.676 1.427
Ni -5.707 -5.087 2.091
Ni -3.387 -6.442 3.139
Ni -7.392 -5.003 3.947
Ni -3.912 -7.035 5.519
Ni -5.754 -6.885 3.839
```